{"formula": "Pm2DyHg2Pb2", "functional": "PBE-GGA", "state": "optimized geometry", "lattice": [[5.104, 0.000, 0.000], [2.552, 4.420, 0.000], [2.552, 1.473, 9.059]], "species": ["Dy", "Pb", "Hg", "Pm", "Hg", "Pm", "Pb"], "fractional_positions": [[0.000, 0.000, 0.000], [0.724, 0.724, 0.829], [0.568, 0.568, 0.296], [0.870, 0.870, 0.390], [0.432, 0.432, 0.704], [0.130, 0.130, 0.610], [0.276, 0.276, 0.171]], "total_energy_ev_per_atom": -3.3900, "ef_ev_per_atom": -0.229, "dos_at_fermi_per_ev_cell": 5.88, "total_magnetization_mub_per_fu": 0.00, "spacegroup": "No. 166"}

---

{"formula": "Ho4PuO10", "functional": "PBE-GGA", "state": "optimized geometry", "lattice": [[-0.668, 3.063, -4.327], [-6.159, 1.753, -1.107], [0.451, 6.381, 1.148]], "species": ["O", "O", "Ho", "O", "O", "O", "O", "Ho", "O", "Pu", "O", "Ho", "Ho", "O", "O"], "fractional_positions": [[0.580, 0.088, 0.284], [0.136, 0.284, 0.912], [0.596, 0.210, 0.598], [0.864, 0.716, 0.088], [0.332, 0.716, 0.088], [0.420, 0.912, 0.716], [0.750, 0.500, 0.500], [0.404, 0.790, 0.402], [0.952, 0.912, 0.716], [0.000, 0.000, 0.000], [0.250, 0.500, 0.500], [0.806, 0.598, 0.790], [0.194, 0.402, 0.210], [0.668, 0.284, 0.912], [0.048, 0.088, 0.284]], "total_energy_ev_per_atom": -8.5220, "dos_at_fermi_per_ev_cell": 2.10, "total_magnetization_mub_per_fu": 0.10, "spacegroup": "No. 87"}